VASP calculation (GGA-PBE) on a relaxed structure of CaTb2Dy3Se6.

Cell lengths 4.086, 8.231, 9.162 Å; angles 103.01, 102.88, 90.00 degrees
Positions (direct):
Se (0.336, 0.417, 0.672)
Se (0.001, 0.252, 0.002)
Se (0.333, 0.919, 0.667)
Se (0.667, 0.081, 0.333)
Se (0.999, 0.748, 0.998)
Se (0.664, 0.583, 0.328)
Dy (0.832, 0.173, 0.665)
Dy (0.500, 0.500, 0.000)
Dy (0.168, 0.827, 0.335)
Tb (0.829, 0.659, 0.659)
Tb (0.171, 0.341, 0.341)
Ca (0.500, 0.000, 0.000)

Results
**Total DFT energy (no corrections)**: -67.6 eV for the cell shown
**Total magnetic moment**: 0.00 Bohr magnetons per cell